Below is crystalline LiNi2HgF8 at its relaxed geometry, with properties calculated at the PBE with a Hubbard U level.

Cell: 4.9355 4.8996 6.2857 Å, 89.98 89.99 87.47°
Each line ends with the local moment (μB).
Fractional coordinates of all 12 atoms:
F 0.3174 0.3091 0.0000  0.01
F 0.3318 0.3218 0.5000  0.00
Ni 0.5000 0.5000 0.2380  1.75
Li 0.0000 0.0000 0.0000  0.00
F 0.2022 0.7881 0.7656  -0.10
F 0.6826 0.6909 0.0000  0.01
F 0.7977 0.2118 0.7656  -0.10
F 0.6682 0.6782 0.5000  0.00
Hg 0.0000 0.0000 0.5000  -0.20
F 0.2023 0.7882 0.2344  -0.10
Ni 0.5000 0.5000 0.7620  1.75
F 0.7978 0.2119 0.2344  -0.10

total energy = -3.797 eV per atom
magnetization = 2.9 μB/f.u.